NaPbN2 | PBE-GGA | optimized geometry

* symmetry: I-42d
* ΔE_f (raw): 83 kJ/mol of atoms
* calculated volume: 149 Å³/cell
* total moment: 2.000 Bohr magnetons per cell

Structure (CIF):
```
data_NaPbN2
_chemical_formula_sum 'Na2 Pb2 N4'
_cell_length_a 5.664
_cell_length_b 5.664
_cell_length_c 6.142
_cell_angle_alpha 62.54
_cell_angle_beta 62.54
_cell_angle_gamma 90.00
_symmetry_space_group_name_H-M 'P 1'
_symmetry_Int_Tables_number 1
loop_
_symmetry_equiv_pos_as_xyz
'x,y,z'
loop_
_atom_site_label
_atom_site_fract_x
_atom_site_fract_y
_atom_site_fract_z
_atom_site_occupancy
Pb1 0.000 0.000 0.000 1
Pb2 0.750 0.250 0.500 1
Na1 0.500 0.500 0.000 1
Na2 0.250 0.750 0.500 1
N1 0.659 0.125 0.250 1
N2 0.091 0.625 0.250 1
N3 0.375 0.341 0.750 1
N4 0.875 0.909 0.750 1
```


Cs3PuTl2I9 | PBE-GGA | optimized geometry

* symmetry: P-3m1
* ΔE_f (raw): -104 kJ/mol of atoms
* calculated volume: 817 Å³/cell
* total moment: 4.081 Bohr magnetons per cell

Structure (CIF):
```
data_Cs3PuTl2I9
_chemical_formula_sum 'Cs3 Pu1 Tl2 I9'
_cell_length_a 9.176
_cell_length_b 9.176
_cell_length_c 11.211
_cell_angle_alpha 90.00
_cell_angle_beta 90.00
_cell_angle_gamma 120.00
_symmetry_space_group_name_H-M 'P 1'
_symmetry_Int_Tables_number 1
loop_
_symmetry_equiv_pos_as_xyz
'x,y,z'
loop_
_atom_site_label
_atom_site_fract_x
_atom_site_fract_y
_atom_site_fract_z
_atom_site_occupancy
Cs1 0.333 0.667 0.730 1
Cs2 0.000 0.000 0.000 1
Cs3 0.667 0.333 0.270 1
Pu1 0.000 0.000 0.500 1
Tl1 0.333 0.667 0.168 1
Tl2 0.667 0.333 0.832 1
I1 0.846 0.154 0.657 1
I2 0.846 0.692 0.657 1
I3 0.308 0.154 0.657 1
I4 0.692 0.846 0.343 1
I5 0.154 0.308 0.343 1
I6 0.154 0.846 0.343 1
I7 0.500 0.000 0.000 1
I8 0.000 0.500 0.000 1
I9 0.500 0.500 0.000 1
```


HfSI3 | PBE-GGA | optimized geometry

* symmetry: C2/c
* ΔE_f (raw): -84 kJ/mol of atoms
* distance to the lowest polymorph of the same formula: 0.000 kcal/mol of atoms
* calculated volume: 885 Å³/cell
* total moment: 0.000 Bohr magnetons per cell

Structure (CIF):
```
data_HfSI3
_chemical_formula_sum 'Hf4 S4 I12'
_cell_length_a 8.030
_cell_length_b 8.826
_cell_length_c 14.155
_cell_angle_alpha 86.41
_cell_angle_beta 82.09
_cell_angle_gamma 62.94
_symmetry_space_group_name_H-M 'P 1'
_symmetry_Int_Tables_number 1
loop_
_symmetry_equiv_pos_as_xyz
'x,y,z'
loop_
_atom_site_label
_atom_site_fract_x
_atom_site_fract_y
_atom_site_fract_z
_atom_site_occupancy
Hf1 0.977 0.881 0.146 1
Hf2 0.142 0.881 0.354 1
Hf3 0.023 0.119 0.854 1
Hf4 0.858 0.119 0.646 1
S1 0.280 0.668 0.206 1
S2 0.052 0.668 0.294 1
S3 0.720 0.332 0.794 1
S4 0.948 0.332 0.706 1
I1 0.766 0.189 0.033 1
I2 0.045 0.189 0.467 1
I3 0.234 0.811 0.967 1
I4 0.955 0.811 0.533 1
I5 0.796 0.714 0.089 1
I6 0.490 0.714 0.411 1
I7 0.204 0.286 0.911 1
I8 0.510 0.286 0.589 1
I9 0.723 0.092 0.301 1
I10 0.185 0.092 0.199 1
I11 0.277 0.908 0.699 1
I12 0.815 0.908 0.801 1
```


Pu2SiNi4P3 | PBE-GGA | optimized geometry

* symmetry: P-4m2
* ΔE_f (raw): -78 kJ/mol of atoms
* calculated volume: 145 Å³/cell
* total moment: 10.005 Bohr magnetons per cell

Structure (CIF):
```
data_Pu2SiNi4P3
_chemical_formula_sum 'Pu2 Si1 Ni4 P3'
_cell_length_a 3.962
_cell_length_b 3.962
_cell_length_c 9.235
_cell_angle_alpha 90.00
_cell_angle_beta 90.00
_cell_angle_gamma 90.00
_symmetry_space_group_name_H-M 'P 1'
_symmetry_Int_Tables_number 1
loop_
_symmetry_equiv_pos_as_xyz
'x,y,z'
loop_
_atom_site_label
_atom_site_fract_x
_atom_site_fract_y
_atom_site_fract_z
_atom_site_occupancy
Pu1 0.500 0.000 0.251 1
Pu2 0.000 0.500 0.749 1
Si1 0.500 0.500 0.500 1
Ni1 0.500 0.500 0.000 1
Ni2 0.000 0.000 0.000 1
Ni3 0.500 0.000 0.621 1
Ni4 0.000 0.500 0.379 1
P1 0.000 0.000 0.500 1
P2 0.500 0.000 0.866 1
P3 0.000 0.500 0.134 1
```


PuTlBi2 | PBE-GGA | optimized geometry

* symmetry: R3m
* distance to the lowest polymorph of the same formula: 4.759 kcal/mol of atoms
* calculated formation energy: -0.05 eV per formula unit
* calculated volume: 139 Å³/cell
* total moment: 5.296 Bohr magnetons per cell

Structure (CIF):
```
data_PuTlBi2
_chemical_formula_sum 'Pu1 Tl1 Bi2'
_cell_length_a 5.003
_cell_length_b 5.003
_cell_length_c 7.048
_cell_angle_alpha 69.21
_cell_angle_beta 69.21
_cell_angle_gamma 60.00
_symmetry_space_group_name_H-M 'P 1'
_symmetry_Int_Tables_number 1
loop_
_symmetry_equiv_pos_as_xyz
'x,y,z'
loop_
_atom_site_label
_atom_site_fract_x
_atom_site_fract_y
_atom_site_fract_z
_atom_site_occupancy
Pu1 0.669 0.669 0.994 1
Tl1 0.494 0.494 0.517 1
Bi1 0.077 0.077 0.769 1
Bi2 0.260 0.260 0.221 1
```


Nd7Mg2Rh2 | PBE-GGA | optimized geometry

* symmetry: Cmmm
* calculated formation energy: -2.13 eV per formula unit
* calculated volume: 350 Å³/cell
* total moment: 0.000 Bohr magnetons per cell

Structure (CIF):
```
data_Nd7Mg2Rh2
_chemical_formula_sum 'Nd7 Mg2 Rh2'
_cell_length_a 7.029
_cell_length_b 7.481
_cell_length_c 7.029
_cell_angle_alpha 90.00
_cell_angle_beta 108.51
_cell_angle_gamma 90.00
_symmetry_space_group_name_H-M 'P 1'
_symmetry_Int_Tables_number 1
loop_
_symmetry_equiv_pos_as_xyz
'x,y,z'
loop_
_atom_site_label
_atom_site_fract_x
_atom_site_fract_y
_atom_site_fract_z
_atom_site_occupancy
Nd1 0.000 0.250 0.500 1
Nd2 0.500 0.750 0.000 1
Nd3 0.000 0.750 0.500 1
Nd4 0.500 0.250 0.000 1
Nd5 0.000 0.000 0.000 1
Nd6 0.500 0.761 0.500 1
Nd7 0.500 0.239 0.500 1
Mg1 0.828 0.500 0.828 1
Mg2 0.172 0.500 0.172 1
Rh1 0.712 0.000 0.288 1
Rh2 0.288 0.000 0.712 1
```


Cu8NiPt6 | PBE-GGA | optimized geometry

* symmetry: R-3
* distance to the lowest polymorph of the same formula: 2.792 kcal/mol of atoms
* calculated formation energy: 1.21 eV per formula unit
* calculated volume: 222 Å³/cell
* total moment: 0.000 Bohr magnetons per cell

Structure (CIF):
```
data_Cu8NiPt6
_chemical_formula_sum 'Cu8 Ni1 Pt6'
_cell_length_a 7.054
_cell_length_b 7.054
_cell_length_c 6.564
_cell_angle_alpha 57.50
_cell_angle_beta 57.50
_cell_angle_gamma 60.00
_symmetry_space_group_name_H-M 'P 1'
_symmetry_Int_Tables_number 1
loop_
_symmetry_equiv_pos_as_xyz
'x,y,z'
loop_
_atom_site_label
_atom_site_fract_x
_atom_site_fract_y
_atom_site_fract_z
_atom_site_occupancy
Cu1 0.561 0.179 0.382 1
Cu2 0.821 0.122 0.618 1
Cu3 0.122 0.439 0.618 1
Cu4 0.751 0.751 0.746 1
Cu5 0.249 0.249 0.254 1
Cu6 0.878 0.561 0.382 1
Cu7 0.179 0.878 0.382 1
Cu8 0.439 0.821 0.618 1
Ni1 0.000 0.000 0.000 1
Pt1 0.368 0.085 0.868 1
Pt2 0.915 0.321 0.132 1
Pt3 0.321 0.632 0.132 1
Pt4 0.679 0.368 0.868 1
Pt5 0.085 0.679 0.868 1
Pt6 0.632 0.915 0.132 1
```


CdGaPdPt | PBE-GGA | optimized geometry

* symmetry: F-43m
* calculated formation energy: -1.71 eV per formula unit
* calculated volume: 65 Å³/cell
* total moment: 0.000 Bohr magnetons per cell

Structure (CIF):
```
data_CdGaPdPt
_chemical_formula_sum 'Cd1 Ga1 Pd1 Pt1'
_cell_length_a 4.524
_cell_length_b 4.524
_cell_length_c 4.524
_cell_angle_alpha 60.00
_cell_angle_beta 60.00
_cell_angle_gamma 60.00
_symmetry_space_group_name_H-M 'P 1'
_symmetry_Int_Tables_number 1
loop_
_symmetry_equiv_pos_as_xyz
'x,y,z'
loop_
_atom_site_label
_atom_site_fract_x
_atom_site_fract_y
_atom_site_fract_z
_atom_site_occupancy
Ga1 0.000 0.000 0.000 1
Pd1 0.250 0.250 0.250 1
Pt1 0.750 0.750 0.750 1
Cd1 0.500 0.500 0.500 1
```


ReMo3Rh | PBE-GGA | optimized geometry

* symmetry: Pm-3m
* distance to the lowest polymorph of the same formula: 0.000 kcal/mol of atoms
* calculated formation energy: 8.71 eV per formula unit
* calculated volume: 103 Å³/cell
* total moment: 0.000 Bohr magnetons per cell

Structure (CIF):
```
data_ReMo3Rh
_chemical_formula_sum 'Re1 Mo3 Rh1'
_cell_length_a 4.682
_cell_length_b 4.682
_cell_length_c 4.682
_cell_angle_alpha 90.00
_cell_angle_beta 90.00
_cell_angle_gamma 90.00
_symmetry_space_group_name_H-M 'P 1'
_symmetry_Int_Tables_number 1
loop_
_symmetry_equiv_pos_as_xyz
'x,y,z'
loop_
_atom_site_label
_atom_site_fract_x
_atom_site_fract_y
_atom_site_fract_z
_atom_site_occupancy
Re1 0.000 0.000 0.000 1
Mo1 0.000 0.500 0.000 1
Mo2 0.000 0.000 0.500 1
Mo3 0.500 0.000 0.000 1
Rh1 0.500 0.500 0.500 1
```


Ac3BSb | PBE-GGA | optimized geometry

* symmetry: Pm-3m
* ΔE_f (raw): -23 kJ/mol of atoms
* calculated volume: 170 Å³/cell
* total moment: 0.000 Bohr magnetons per cell

Structure (CIF):
```
data_Ac3BSb
_chemical_formula_sum 'Ac3 B1 Sb1'
_cell_length_a 5.536
_cell_length_b 5.536
_cell_length_c 5.536
_cell_angle_alpha 90.00
_cell_angle_beta 90.00
_cell_angle_gamma 90.00
_symmetry_space_group_name_H-M 'P 1'
_symmetry_Int_Tables_number 1
loop_
_symmetry_equiv_pos_as_xyz
'x,y,z'
loop_
_atom_site_label
_atom_site_fract_x
_atom_site_fract_y
_atom_site_fract_z
_atom_site_occupancy
Sb1 0.500 0.500 0.500 1
Ac1 0.000 0.500 0.000 1
Ac2 0.000 0.000 0.500 1
Ac3 0.500 0.000 0.000 1
B1 0.000 0.000 0.000 1
```